1.
Y2SiAgW | the Alexandria database | SCAN | PBEsol geometry; theoretical density = 6.35 g/cm3; formation energy without anion corrections = 0.51 eV per atom; magnetization = 0.0 μB per cell; crystal system = tetragonal; SG = P4/mmm, No. 123
1.0
-1.8603 -4.1432 1.2271
4.7385 -2.2440 -0.3931
0.9315 1.0805 5.0605
Y Si Ag W
2 1 1 1
direct
0.0000 0.0000 0.5000
0.0000 0.5000 0.0000
0.5000 0.0000 0.0000
0.5000 0.5000 0.5000
0.0000 0.0000 0.0000



2.
Zn3SiAg | the Alexandria database | SCAN | PBEsol geometry; theoretical density = 5.26 g/cm3; formation energy without anion corrections = 0.83 eV per atom; magnetization = 0.0 μB per cell; crystal system = cubic; SG = Pm-3m, No. 221
1.0
4.7170 0.0000 0.0000
0.0000 4.7170 0.0000
0.0000 0.0000 4.7170
Zn Si Ag
3 1 1
direct
0.0000 0.5000 0.0000
0.0000 0.0000 0.5000
0.5000 0.0000 0.0000
0.5000 0.5000 0.5000
0.0000 0.0000 0.0000